DFT (PBE) results for a geometry-optimized HfRe3F structure.

Results
- energy (hartree per atom) = -0.329
- uncorrected formation energy (meV per atom) = 878
- total magnetization (μB per cell) = 0.000
- space-group type = No. 221

Lattice parameters (Å, degrees): 4.269 4.269 4.269 90.00 90.00 90.00
Element x y z (fractional)
Hf (0.000, 0.000, 0.000)
Re (0.000, 0.500, 0.500)
Re (0.500, 0.000, 0.500)
Re (0.500, 0.500, 0.000)
F (0.500, 0.500, 0.500)